Material: DyY4Te5
Method: DFT, GGA-PBE
State: optimized geometry

## Properties
E_tot (eV per atom): -5.9188
Uncorrected formation energy (eV/atom): -1.30
Space-group type: I4/m, No. 87
Total moment (Bohr magnetons per cell): 0.00

a = 6.184 Å, b = 7.553 Å, c = 7.553 Å
α = 80.35°, β = 65.84°, γ = 65.84°
Fractional coordinates of all 10 atoms:
1 Dy 0.001 0.000 0.000
2 Y 0.402 0.401 0.797
3 Y 0.803 0.797 0.599
4 Y 0.199 0.203 0.401
5 Y 0.600 0.599 0.203
6 Te 0.900 0.399 0.803
7 Te 0.299 0.803 0.601
8 Te 0.703 0.197 0.399
9 Te 0.102 0.601 0.197
10 Te 0.501 0.000 0.000